# ErTmMgCo, optimized geometry, DFT PBE
# Fermi-level density of states   0.789 states/eV/atom
# Distance to the lowest polymorph of the same formula   0 meV per atom
# Calculated volume   22.6 A^3/atom
# ΔE_f   -4.0 kcal/mol of atoms
# E   -4.605 eV per atom
data_ErTmMgCo
_symmetry_space_group_name_H-M 'P 4 m m'
_symmetry_Int_Tables_number 99
_cell_length_a 3.353
_cell_length_b 3.353
_cell_length_c 8.025
_cell_angle_alpha 90.00
_cell_angle_beta 90.00
_cell_angle_gamma 90.00
loop_
_symmetry_equiv_pos_as_xyz
'x,y,z'
'-y,x,z'
'-x,-y,z'
'y,-x,z'
'-x,y,z'
'y,x,z'
'x,-y,z'
'-y,-x,z'
loop_
_atom_site_label
_atom_site_type_symbol
_atom_site_fract_x
_atom_site_fract_y
_atom_site_fract_z
Er1 Er 0.000 0.000 0.000
Tm1 Tm 0.000 0.000 0.600
Mg1 Mg 0.500 0.500 0.302
Co1 Co 0.500 0.500 0.799